[1]
Below is crystalline LiY2Tl at its relaxed geometry, with properties calculated at the GGA-PBEsol level.

Output
Energy above the lowest structure with this stoichiometry: 0.0888 eV/atom
ΔE_f: -0.1864 eV per atom
Calculated density: 6.5 g/cm³

Unit cell a=3.721 b=5.060 c=10.624 alpha=90.00 beta=90.00 gamma=90.00
Space group Imm2 (No. 44)
Inequivalent atoms, fractional coordinates:
Li: 0.000 0.000 0.000 [2 per cell]
Y: 0.000 0.000 0.459 [2 per cell]
Y: 0.000 0.500 0.231 [2 per cell]
Tl: 0.000 0.500 0.692 [2 per cell]



[2]
Below is crystalline Li4YTl at its relaxed geometry, with properties calculated at the GGA-PBEsol level.

Output
ΔE_f: -0.1250 eV per atom
Calculated density: 4.7 g/cm³

Unit cell a=7.693 b=7.693 c=7.693 alpha=90.00 beta=90.00 gamma=90.00
Space group F-43m (No. 216)
Inequivalent atoms, fractional coordinates:
Li: 0.124 0.124 0.376 [16 per cell]
Y: 0.000 0.000 0.000 [4 per cell]
Tl: 0.250 0.250 0.750 [4 per cell]



[3]
Below is crystalline Li2YTl at its relaxed geometry, with properties calculated at the GGA-PBEsol level.

Output
Energy above the lowest structure with this stoichiometry: 0.2422 eV/atom
ΔE_f: -0.0548 eV per atom
Calculated density: 5.2 g/cm³

Unit cell a=6.212 b=10.883 c=3.320 alpha=90.00 beta=119.66 gamma=90.00
Space group C2/m (No. 12)
Inequivalent atoms, fractional coordinates:
Li: 0.250 0.250 0.000 [4 per cell]
Y: 0.000 0.000 0.500 [2 per cell]
Tl: 0.000 0.500 0.500 [2 per cell]



[4]
Below is crystalline LiY2Tl at its relaxed geometry, with properties calculated at the GGA-PBEsol level.

Output
Energy above the lowest structure with this stoichiometry: 0.0000 eV/atom
ΔE_f: -0.2752 eV per atom
Calculated density: 6.4 g/cm³

Unit cell a=7.377 b=7.377 c=7.377 alpha=90.00 beta=90.00 gamma=90.00
Space group Fm-3m (No. 225)
Inequivalent atoms, fractional coordinates:
Li: 0.000 0.000 0.000 [4 per cell]
Y: 0.250 0.250 0.250 [8 per cell]
Tl: 0.000 0.000 0.500 [4 per cell]



[5]
Below is crystalline Li2TlZn at its relaxed geometry, with properties calculated at the GGA-PBEsol level.

Output
ΔE_f: -0.1801 eV per atom
Calculated density: 6.9 g/cm³

Unit cell a=3.117 b=3.253 c=6.763 alpha=90.00 beta=90.00 gamma=90.00
Space group Pmmm (No. 47)
Inequivalent atoms, fractional coordinates:
Li: 0.000 0.000 0.223 [2 per cell]
Tl: 0.500 0.500 0.500 [1 per cell]
Zn: 0.500 0.500 0.000 [1 per cell]



[6]
Below is crystalline Li2TlZn at its relaxed geometry, with properties calculated at the GGA-PBEsol level.

Output
ΔE_f: -0.1816 eV per atom
Calculated density: 7.0 g/cm³

Unit cell a=4.480 b=4.480 c=3.373 alpha=90.00 beta=90.00 gamma=90.00
Space group P4/mmm (No. 123)
Inequivalent atoms, fractional coordinates:
Li: 0.000 0.500 0.000 [2 per cell]
Tl: 0.000 0.000 0.500 [1 per cell]
Zn: 0.500 0.500 0.500 [1 per cell]



[7]
Below is crystalline LiTlZn2 at its relaxed geometry, with properties calculated at the GGA-PBEsol level.

Output
ΔE_f: 0.0638 eV per atom
Calculated density: 7.6 g/cm³

Unit cell a=3.1297 b=3.1297 c=26.5684 alpha=90.00 beta=90.00 gamma=120.00
Space group R3m (No. 160, hexagonal axes)
Inequivalent atoms, fractional coordinates:
Li: 0.0000 0.0000 0.0000 [3 per cell]
Tl: 0.0000 0.0000 0.7575 [3 per cell]
Zn: 0.0000 0.0000 0.2548 [3 per cell]
Zn: 0.0000 0.0000 0.5155 [3 per cell]



[8]
Below is crystalline LiTlZn2 at its relaxed geometry, with properties calculated at the GGA-PBEsol level.

Output
ΔE_f: 0.0313 eV per atom
Calculated density: 7.9 g/cm³

Unit cell a=5.546 b=9.997 c=3.024 alpha=90.00 beta=121.11 gamma=90.00
Space group C2/m (No. 12)
Inequivalent atoms, fractional coordinates:
Li: 0.000 0.000 0.000 [2 per cell]
Tl: 0.000 0.500 0.000 [2 per cell]
Zn: 0.250 0.250 0.000 [4 per cell]



[9]
Below is crystalline Li2ZrTl at its relaxed geometry, with properties calculated at the GGA-PBEsol level.

Output
ΔE_f: 0.0039 eV per atom
Calculated density: 6.4 g/cm³

Unit cell a=3.521 b=4.754 c=4.804 alpha=90.00 beta=90.00 gamma=90.00
Space group Pmmm (No. 47)
Inequivalent atoms, fractional coordinates:
Li: 0.000 0.000 0.000 [1 per cell]
Li: 0.500 0.500 0.000 [1 per cell]
Zr: 0.000 0.500 0.500 [1 per cell]
Tl: 0.500 0.000 0.500 [1 per cell]



[10]
Below is crystalline LiZrTl at its relaxed geometry, with properties calculated at the GGA-PBEsol level.

Output
ΔE_f: -0.0888 eV per atom
Calculated density: 8.5 g/cm³

Unit cell a=4.6170 b=4.6170 c=3.2117 alpha=90.00 beta=90.00 gamma=120.00
Space group P-6m2 (No. 187)
Inequivalent atoms, fractional coordinates:
Li: 0.0000 0.0000 0.0000 [1 per cell]
Zr: 0.6667 0.3333 0.5000 [1 per cell]
Tl: 0.3333 0.6667 0.0000 [1 per cell]



[11]
Below is crystalline Li2ZrTl at its relaxed geometry, with properties calculated at the GGA-PBEsol level.

Output
ΔE_f: 0.0816 eV per atom
Calculated density: 6.1 g/cm³

Unit cell a=3.219 b=5.091 c=10.288 alpha=90.00 beta=90.00 gamma=90.00
Space group Cmmm (No. 65)
Inequivalent atoms, fractional coordinates:
Li: 0.000 0.000 0.241 [4 per cell]
Zr: 0.000 0.500 0.500 [2 per cell]
Tl: 0.000 0.500 0.000 [2 per cell]



[12]
Below is crystalline LiZrTl2 at its relaxed geometry, with properties calculated at the GGA-PBEsol level.

Output
ΔE_f: -0.1895 eV per atom
Calculated density: 9.8 g/cm³

Unit cell a=5.085 b=5.085 c=3.319 alpha=90.00 beta=90.00 gamma=90.00
Space group P4/mmm (No. 123)
Inequivalent atoms, fractional coordinates:
Li: 0.000 0.000 0.000 [1 per cell]
Zr: 0.500 0.500 0.000 [1 per cell]
Tl: 0.000 0.500 0.500 [2 per cell]



[13]
Below is crystalline LiZrTl2 at its relaxed geometry, with properties calculated at the GGA-PBEsol level.

Output
ΔE_f: -0.1920 eV per atom
Calculated density: 9.8 g/cm³

Unit cell a=6.809 b=7.996 c=3.164 alpha=90.00 beta=90.00 gamma=90.00
Space group Cmmm (No. 65)
Inequivalent atoms, fractional coordinates:
Li: 0.000 0.000 0.000 [2 per cell]
Zr: 0.000 0.500 0.000 [2 per cell]
Tl: 0.250 0.250 0.500 [4 per cell]



[14]
Below is crystalline Li2ZrTl at its relaxed geometry, with properties calculated at the GGA-PBEsol level.

Output
ΔE_f: 0.0843 eV per atom
Calculated density: 6.0 g/cm³

Unit cell a=3.0693 b=3.0693 c=31.2458 alpha=90.00 beta=90.00 gamma=120.00
Space group R-3m (No. 166, hexagonal axes)
Inequivalent atoms, fractional coordinates:
Li: 0.0000 0.0000 0.2474 [6 per cell]
Zr: 0.0000 0.0000 0.0000 [3 per cell]
Tl: 0.0000 0.0000 0.5000 [3 per cell]



[15]
Below is crystalline LiW3 at its relaxed geometry, with properties calculated at the GGA-PBEsol level.

Output
ΔE_f: 0.3660 eV per atom
Calculated density: 15.4 g/cm³

Unit cell a=2.639 b=4.429 c=5.198 alpha=90.00 beta=98.47 gamma=90.00
Space group P2/m (No. 10)
Inequivalent atoms, fractional coordinates:
Li: 0.000 0.000 0.000 [1 per cell]
W: 0.232 0.500 0.750 [2 per cell]
W: 0.500 0.000 0.500 [1 per cell]



[16]
Below is crystalline Li3W at its relaxed geometry, with properties calculated at the GGA-PBEsol level.

Output
Energy above the lowest structure with this stoichiometry: 0.2978 eV/atom
ΔE_f: 0.6149 eV per atom
Calculated density: 5.7 g/cm³

Unit cell a=2.466 b=4.917 c=9.882 alpha=90.00 beta=90.00 gamma=90.00
Space group Immm (No. 71)
Inequivalent atoms, fractional coordinates:
Li: 0.000 0.000 0.000 [2 per cell]
Li: 0.000 0.500 0.265 [4 per cell]
W: 0.000 0.000 0.500 [2 per cell]



[17]
Below is crystalline LiW at its relaxed geometry, with properties calculated at the GGA-PBEsol level.

Output
Energy above the lowest structure with this stoichiometry: 0.0963 eV/atom
ΔE_f: 0.5103 eV per atom
Calculated density: 10.3 g/cm³

Unit cell a=2.522 b=11.310 c=4.306 alpha=90.00 beta=90.00 gamma=90.00
Space group Cmcm (No. 63)
Inequivalent atoms, fractional coordinates:
Li: 0.000 0.054 0.250 [4 per cell]
W: 0.000 0.304 0.250 [4 per cell]



[18]
Below is crystalline Li5W at its relaxed geometry, with properties calculated at the GGA-PBEsol level.

Output
ΔE_f: 0.3916 eV per atom
Calculated density: 3.7 g/cm³

Unit cell a=11.081 b=2.512 c=7.203 alpha=90.00 beta=101.97 gamma=90.00
Space group Cm (No. 8)
Inequivalent atoms, fractional coordinates:
Li: 0.000 0.000 0.000 [2 per cell]
Li: 0.061 0.000 0.618 [2 per cell]
Li: 0.164 0.500 0.313 [2 per cell]
Li: 0.249 0.500 0.981 [2 per cell]
Li: 0.326 0.000 0.639 [2 per cell]
W: 0.403 0.000 0.298 [2 per cell]



[19]
Below is crystalline Li3W at its relaxed geometry, with properties calculated at the GGA-PBEsol level.

Output
Energy above the lowest structure with this stoichiometry: 0.0000 eV/atom
ΔE_f: 0.3171 eV per atom
Calculated density: 5.3 g/cm³

Unit cell a=2.7192 b=2.7192 c=30.1774 alpha=90.00 beta=90.00 gamma=120.00
Space group R-3m (No. 166, hexagonal axes)
Inequivalent atoms, fractional coordinates:
Li: 0.0000 0.0000 0.0000 [3 per cell]
Li: 0.0000 0.0000 0.2464 [6 per cell]
W: 0.0000 0.0000 0.5000 [3 per cell]



[20]
Below is crystalline LiW at its relaxed geometry, with properties calculated at the GGA-PBEsol level.

Output
Energy above the lowest structure with this stoichiometry: 0.1603 eV/atom
ΔE_f: 0.5743 eV per atom
Calculated density: 9.8 g/cm³

Unit cell a=3.216 b=3.216 c=6.249 alpha=90.00 beta=90.00 gamma=90.00
Space group P4/nmm (No. 129, origin choice 2)
Inequivalent atoms, fractional coordinates:
Li: 0.250 0.250 0.123 [2 per cell]
W: 0.250 0.250 0.594 [2 per cell]